VASP calculation (PBE-GGA) on an optimized crystal structure of CeNd3Dy3S8.

Calculated values
Crystal system ... trigonal
ΔE_f (raw) ... -2.02 eV/atom
Symmetry ... No. 166

Unit cell a=7.992 b=7.992 c=7.992 alpha=59.71 beta=59.71 gamma=59.71
Fractional coordinates of all 15 atoms:
1 Ce 0.000 0.000 0.000
2 Nd 0.000 0.000 0.500
3 Nd 0.000 0.500 0.000
4 Nd 0.500 0.000 0.000
5 Dy 0.000 0.500 0.500
6 Dy 0.500 0.000 0.500
7 Dy 0.500 0.500 0.000
8 S 0.252 0.252 0.737
9 S 0.252 0.737 0.252
10 S 0.255 0.255 0.255
11 S 0.263 0.748 0.748
12 S 0.737 0.252 0.252
13 S 0.745 0.745 0.745
14 S 0.748 0.263 0.748
15 S 0.748 0.748 0.263

=====

VASP calculation (PBE-GGA) on an optimized crystal structure of Ce3Nd3DyS8.

Calculated values
Crystal system ... trigonal
ΔE_f (raw) ... -2.05 eV/atom
Symmetry ... No. 166

Unit cell a=8.078 b=8.078 c=8.078 alpha=59.99 beta=59.99 gamma=59.99
Fractional coordinates of all 15 atoms:
1 Ce 0.000 0.500 0.500
2 Ce 0.500 0.000 0.500
3 Ce 0.500 0.500 0.000
4 Nd 0.000 0.000 0.500
5 Nd 0.000 0.500 0.000
6 Nd 0.500 0.000 0.000
7 Dy 0.000 0.000 0.000
8 S 0.243 0.243 0.755
9 S 0.243 0.755 0.243
10 S 0.245 0.757 0.757
11 S 0.251 0.251 0.251
12 S 0.749 0.749 0.749
13 S 0.755 0.243 0.243
14 S 0.757 0.245 0.757
15 S 0.757 0.757 0.245

=====

VASP calculation (PBE-GGA) on an optimized crystal structure of Ce3Nd2DyS6.

Calculated values
Crystal system ... monoclinic
ΔE_f (raw) ... -2.03 eV/atom
Symmetry ... No. 12

Unit cell a=6.965 b=6.965 c=6.976 alpha=99.60 beta=99.60 gamma=120.02
Fractional coordinates of all 12 atoms:
1 Ce 0.000 0.000 0.000
2 Ce 0.330 0.670 0.000
3 Ce 0.670 0.330 0.000
4 Nd 0.166 0.834 0.500
5 Nd 0.834 0.166 0.500
6 Dy 0.500 0.500 0.500
7 S 0.093 0.418 0.253
8 S 0.258 0.258 0.750
9 S 0.418 0.093 0.253
10 S 0.582 0.907 0.747
11 S 0.742 0.742 0.250
12 S 0.907 0.582 0.747